TbBe6Au12, relaxed, DFT PBE; calculated total energy = -3.58 eV per atom; total moment = 0.0 Bohr magnetons per cell; space group = Im-3, No. 204
1.0
7.3709 0.0000 0.0000
-2.4570 6.9494 0.0000
-2.4570 -3.4747 6.0183
Tb Be Au
1 6 12
direct
0.0000 0.0000 0.0000
0.3719 0.5000 0.8719
0.6281 0.5000 0.1281
0.5000 0.8719 0.3719
0.5000 0.1281 0.6281
0.8719 0.3719 0.5000
0.1281 0.6281 0.5000
0.3096 0.1364 0.8268
0.3096 0.4827 0.1732
0.6904 0.5173 0.8268
0.6904 0.8636 0.1732
0.1364 0.8268 0.3096
0.4827 0.1732 0.3096
0.5173 0.8268 0.6904
0.8636 0.1732 0.6904
0.8268 0.3096 0.1364
0.1732 0.3096 0.4827
0.8268 0.6904 0.5173
0.1732 0.6904 0.8636

---

YOsCl, relaxed, DFT PBE; E_form (uncorrected) = -64 meV/atom; total moment = 0.1 Bohr magnetons per cell; space group = P3m1, No. 156; energy above the lowest structure with this stoichiometry = 0.0 kJ/mol of atoms
1.0
-0.1461 -2.2952 -2.4576
1.5944 -0.7141 2.8770
-6.0742 -2.5424 2.7353
Cl Os Y
1 1 1
direct
0.0000 0.0000 0.9416
0.3333 0.6667 0.3885
0.6667 0.3333 0.6699

---

Copy entry 1 word for word.
TbBe6Au12, relaxed, DFT PBE; calculated total energy = -3.58 eV per atom; total moment = 0.0 Bohr magnetons per cell; space group = Im-3, No. 204
1.0
7.3709 0.0000 0.0000
-2.4570 6.9494 0.0000
-2.4570 -3.4747 6.0183
Tb Be Au
1 6 12
direct
0.0000 0.0000 0.0000
0.3719 0.5000 0.8719
0.6281 0.5000 0.1281
0.5000 0.8719 0.3719
0.5000 0.1281 0.6281
0.8719 0.3719 0.5000
0.1281 0.6281 0.5000
0.3096 0.1364 0.8268
0.3096 0.4827 0.1732
0.6904 0.5173 0.8268
0.6904 0.8636 0.1732
0.1364 0.8268 0.3096
0.4827 0.1732 0.3096
0.5173 0.8268 0.6904
0.8636 0.1732 0.6904
0.8268 0.3096 0.1364
0.1732 0.3096 0.4827
0.8268 0.6904 0.5173
0.1732 0.6904 0.8636

---

Question: Number 2 is which compound?
Answer: YOsCl

---

Question: What is the total moment in the first record?
Answer: 0.0 Bohr magnetons per cell

---

Question: Among the records above, which one has the lowest total moment?
Answer: TbBe6Au12